(a)
PBE-GGA LaY2Er8, optimized geometry; V = 362 Å³/f.u.; DOS(E_F) = 16.75 states/eV/cell; space group = C2/m
1.0
4.6324 -8.5764 0.0000
4.6324 8.5764 0.0000
-3.7596 0.0000 4.5532
La Y Er
1 2 8
direct
0.0000 0.0000 0.0000 La
0.3118 0.6882 0.5000 Y
0.6882 0.3118 0.5000 Y
0.0991 0.3631 0.7304 Er
0.2014 0.7986 0.0000 Er
0.3631 0.0991 0.7304 Er
0.4986 0.4986 0.2559 Er
0.5014 0.5014 0.7441 Er
0.6369 0.9009 0.2696 Er
0.7986 0.2014 0.0000 Er
0.9009 0.6369 0.2696 Er

---

(b)
PBE-GGA LaY2Er8, optimized geometry; V = 353 Å³/f.u.; DOS(E_F) = 16.41 states/eV/cell; space group = Immm
1.0
-2.7353 4.0452 7.9765
2.7353 -4.0452 7.9765
2.7353 4.0452 -7.9765
La Y Er
1 2 8
direct
0.0000 0.0000 0.0000 La
0.3002 0.3002 0.0000 Y
0.6998 0.6998 0.0000 Y
0.1529 0.8593 0.2936 Er
0.1636 0.6636 0.5000 Er
0.2955 0.5000 0.7955 Er
0.4344 0.1407 0.2936 Er
0.5656 0.8593 0.7064 Er
0.7045 0.5000 0.2045 Er
0.8364 0.3364 0.5000 Er
0.8471 0.1407 0.7064 Er

---

What should be chosen as the least stable of them? Choose (a).